VASP calculation (meta-GGA SCAN) on a PBEsol-optimized structure of TaGa2Ni.

## Properties
The calculation puts the magnetic moment at 0.005 μB/cell. The formation energy from the elements is 0.051 eV per atom. Its total energy is -28.8112 eV per atom.

Cell and atoms, written as CIF:
```
data_TaGa2Ni
_space_group_name_H-M_alt 'F m -3 m'
_space_group_IT_number 225
_space_group_name_Hall '-F 4 2 3'
_cell_length_a 6.112
_cell_length_b 6.112
_cell_length_c 6.112
_cell_angle_alpha 90.00
_cell_angle_beta 90.00
_cell_angle_gamma 90.00
loop_
_atom_site_label
_atom_site_fract_x
_atom_site_fract_y
_atom_site_fract_z
Ta1 0.000 0.000 0.000
Ga1 0.250 0.250 0.250
Ni1 0.000 0.000 0.500
```